Entry from Alexandria via LeMat-Bulk: Zr5Co3 after structural relaxation (GGA-PBE).

Geometry as POSCAR:
```
Zr5Co3
1.0
-1.615 2.785 6.902
2.102 -6.219 3.001
9.967 3.762 0.814
Zr Co
20 12
Direct
0.177 0.044 0.087 Zr
0.177 0.456 0.087 Zr
0.536 0.250 0.012 Zr
0.616 0.750 0.701 Zr
0.323 0.044 0.587 Zr
0.823 0.544 0.913 Zr
0.331 0.750 0.275 Zr
0.169 0.750 0.775 Zr
0.823 0.956 0.913 Zr
0.036 0.750 0.488 Zr
0.831 0.250 0.225 Zr
0.964 0.250 0.512 Zr
0.116 0.250 0.799 Zr
0.669 0.250 0.725 Zr
0.677 0.544 0.413 Zr
0.677 0.956 0.413 Zr
0.323 0.456 0.587 Zr
0.884 0.750 0.201 Zr
0.464 0.750 0.988 Zr
0.384 0.250 0.299 Zr
0.078 0.750 0.006 Co
0.432 0.464 0.826 Co
0.568 0.536 0.174 Co
0.068 0.036 0.326 Co
0.568 0.964 0.174 Co
0.422 0.750 0.506 Co
0.932 0.964 0.674 Co
0.432 0.036 0.826 Co
0.578 0.250 0.494 Co
0.932 0.536 0.674 Co
0.922 0.250 0.994 Co
0.068 0.464 0.326 Co
```

Values from the calculation:
ΔE to the lowest computed polymorph = 6 meV per atom
Uncorrected energy = -65.8 eV per formula unit
ρ = 7.16 g/cm3
Crystal system = orthorhombic
Energy of formation = -169.6 kJ/mol of formula units

Entry from Alexandria via LeMat-Bulk: Ti3AuC after structural relaxation (GGA-PBE).

Geometry as POSCAR:
```
Ti3AuC
1.0
-1.752 -4.957 5.202
2.985 -0.084 0.925
-1.195 4.552 4.273
Ti Au C
6 2 2
Direct
0.235 0.200 0.284 Ti
0.797 0.200 0.349 Ti
0.972 0.700 0.036 Ti
0.534 0.700 0.101 Ti
0.268 0.200 0.832 Ti
0.501 0.700 0.553 Ti
0.728 0.200 0.811 Au
0.041 0.700 0.574 Au
0.253 0.700 0.056 C
0.515 0.200 0.330 C
```

Values from the calculation:
ΔE to the lowest computed polymorph = 67 meV per atom
Uncorrected energy = -39.0 eV per formula unit
ρ = 7.97 g/cm3
Crystal system = monoclinic
Energy of formation = -267.6 kJ/mol of formula units

Entry from Alexandria via LeMat-Bulk: Sr2Ca15Pm2 after structural relaxation (GGA-PBE).

Geometry as POSCAR:
```
Sr2Ca15Pm2
1.0
-8.470 -0.501 4.441
3.027 -3.893 8.209
0.700 8.063 5.120
Ca Pm Sr
15 2 2
Direct
0.351 0.351 0.852 Ca
0.649 0.148 0.649 Ca
0.291 0.000 0.709 Ca
0.709 0.291 0.000 Ca
0.148 0.649 0.649 Ca
0.000 0.500 0.000 Ca
0.709 0.000 0.291 Ca
0.291 0.709 0.000 Ca
0.351 0.852 0.351 Ca
0.000 0.000 0.500 Ca
0.500 0.000 0.000 Ca
0.000 0.709 0.291 Ca
0.649 0.649 0.148 Ca
0.000 0.291 0.709 Ca
0.852 0.351 0.351 Ca
0.093 0.093 0.093 Pm
0.907 0.907 0.907 Pm
0.678 0.678 0.678 Sr
0.322 0.322 0.322 Sr
```

Values from the calculation:
Uncorrected energy = -40.4 eV per formula unit
ρ = 2.07 g/cm3
Crystal system = trigonal
Energy of formation = 240.2 kJ/mol of formula units

Entry from Alexandria via LeMat-Bulk: La5ErHg6 after structural relaxation (GGA-PBE).

Geometry as POSCAR:
```
La5ErHg6
1.0
5.166 -0.031 1.723
0.042 7.781 0.014
-0.020 -0.015 8.681
Hg La Er
6 5 1
Direct
0.500 0.763 0.000 Hg
0.841 0.759 0.318 Hg
0.500 0.237 0.000 Hg
0.841 0.241 0.318 Hg
0.159 0.759 0.682 Hg
0.159 0.241 0.682 Hg
0.329 0.500 0.343 La
0.671 0.500 0.657 La
0.333 0.000 0.334 La
0.000 0.500 0.000 La
0.667 0.000 0.666 La
0.000 0.000 0.000 Er
```

Values from the calculation:
Uncorrected energy = -36.9 eV per formula unit
ρ = 9.82 g/cm3
Crystal system = orthorhombic
Energy of formation = -566.7 kJ/mol of formula units

Entry from Alexandria via LeMat-Bulk: Y3Tm3Sc after structural relaxation (GGA-PBE).

Geometry as POSCAR:
```
Y3Tm3Sc
1.0
-2.473 0.660 4.920
7.930 -2.668 4.345
-1.470 9.105 -1.961
Y Tm Sc
6 6 2
Direct
0.750 0.053 0.244 Y
0.750 0.756 0.808 Y
0.250 0.244 0.192 Y
0.250 0.947 0.756 Y
0.250 0.808 0.052 Y
0.750 0.192 0.948 Y
0.250 0.519 0.617 Tm
0.750 0.481 0.383 Tm
0.250 0.383 0.903 Tm
0.750 0.903 0.519 Tm
0.750 0.617 0.097 Tm
0.250 0.097 0.481 Tm
0.750 0.333 0.667 Sc
0.250 0.667 0.333 Sc
```

Values from the calculation:
ΔE to the lowest computed polymorph = 0 meV per atom
Uncorrected energy = -39.0 eV per formula unit
ρ = 6.37 g/cm3
Crystal system = hexagonal
Energy of formation = 11.7 kJ/mol of formula units

Entry from Alexandria via LeMat-Bulk: ScTlZnSe3 after structural relaxation (GGA-PBE).

Geometry as POSCAR:
```
ScTlZnSe3
1.0
-1.957 -1.001 3.329
-2.658 -7.545 -3.830
8.453 -1.427 4.540
Se Zn Sc Tl
6 2 2 2
Direct
0.250 0.783 0.455 Se
0.750 0.469 0.155 Se
0.250 0.117 0.869 Se
0.250 0.531 0.845 Se
0.750 0.883 0.131 Se
0.750 0.217 0.545 Se
0.250 0.083 0.609 Zn
0.750 0.917 0.391 Zn
0.250 0.670 0.135 Sc
0.750 0.330 0.865 Sc
0.750 0.784 0.771 Tl
0.250 0.216 0.229 Tl
```

Values from the calculation:
Uncorrected energy = -26.7 eV per formula unit
ρ = 5.67 g/cm3
Crystal system = monoclinic
Formation energy without anion corrections = -1.045 eV per atom